Ba4Au2I PBE relaxed; space group = No. 166; electronic total energy = -21.58 eV for the cell shown; formation energy (no corrections) = -0.827 eV per atom; calculated density = 5.46 g cm⁻³; total magnetization = 0.0 μB per cell
1.0
2.3971 1.3840 16.3609
-2.3971 1.3840 16.3609
0.0000 -2.7680 16.3609
Ba Au I
4 2 1
Cartesian
0.0000 0.0000 6.1583 Ba
0.0000 0.0000 13.7847 Ba
0.0000 0.0000 35.2979 Ba
0.0000 0.0000 42.9243 Ba
0.0000 0.0000 20.7342 Au
0.0000 0.0000 28.3484 Au
0.0000 0.0000 0.0000 I



Be2AsAu PBE relaxed; space group = No. 44; electronic total energy = -14.68 eV for the cell shown; calculated density = 8.36 g cm⁻³; formation energy = 173.7 meV/atom; total magnetization = 0.0 μB per cell
1.0
-1.4405 1.7112 5.8414
1.4405 -1.7112 5.8414
1.4405 1.7112 -5.8414
Be As Au
2 1 1
Cartesian
0.0000 0.0000 0.0000 Be
0.0000 1.7112 3.0414 Be
1.4405 0.0000 4.0192 As
0.0000 0.0000 6.9268 Au



Question: Look up the total magnetization of the second one.
Answer: 0.0 μB per cell



Question: Look up the total magnetization of the second one.
Answer: 0.0 μB per cell